# PBE K3Nd2YO6, optimized geometry
data_K3Nd2YO6
_cell_length_a 6.225
_cell_length_b 10.784
_cell_length_c 6.630
_cell_angle_alpha 90.00
_cell_angle_beta 108.23
_cell_angle_gamma 90.00
_symmetry_space_group_name_H-M 'C 1 2/m 1'
_symmetry_Int_Tables_number 12
loop_
_symmetry_equiv_pos_as_xyz
'x,y,z'
'-x,-y,-z'
'-x,y,-z'
'x,-y,z'
'x+1/2,y+1/2,z'
'-x+1/2,-y+1/2,-z'
'-x+1/2,y+1/2,-z'
'x+1/2,-y+1/2,z'
loop_
_atom_site_label
_atom_site_type_symbol
_atom_site_fract_x
_atom_site_fract_y
_atom_site_fract_z
K1 K 0.000 0.000 0.000
K2 K 0.000 0.335 0.000
Nd1 Nd 0.000 0.167 0.500
Y1 Y 0.000 0.500 0.500
O1 O 0.225 0.338 0.689
O2 O 0.239 0.000 0.689
# Raw formation energy: -255.7 kJ/mol of atoms
# Density: 4.64 Mg/m³
# Magnetization: 0.0 μB per cell
# DOS at the Fermi energy: 0.0 states/eV/cell
# Crystal system: monoclinic
# V: 422.8 Å³/cell